[1]
Computed, not measured: a relaxed structure of LaHgPdO at the GGA-PBE level of DFT.

Computed properties:
Space-group type ... No. 129

Cell: 4.299 4.299 8.953 Å, 90.00 90.00 90.00°
Fractional positions:
Pd: 0.500 0.000 0.699
Pd: 0.000 0.500 0.301
O: 0.500 0.500 0.000
O: 0.000 0.000 0.000
La: 0.000 0.500 0.875
La: 0.500 0.000 0.125
Hg: 0.500 0.500 0.500
Hg: 0.000 0.000 0.500



[2]
Computed, not measured: a relaxed structure of ZrOs4Br at the GGA-PBE level of DFT.

Computed properties:
Space-group type ... No. 216

Cell: 5.278 5.278 5.278 Å, 60.00 60.00 60.00°
Fractional positions:
Os: 0.625 0.625 0.625
Os: 0.625 0.625 0.125
Os: 0.125 0.625 0.625
Os: 0.625 0.125 0.625
Zr: 0.250 0.250 0.250
Br: 0.000 0.000 0.000



Sequential formation energy without anion corrections output: -1564 728 meV per atom